[1]
A plane-wave DFT calculation with PBE was carried out for a geometry-optimized LiCrNi14 structure.

Cell lengths 4.977, 4.977, 7.044 Å; angles 90.00, 90.00, 90.00 degrees
Space group P4/mmm (No. 123)
Unique sites:
Li 0.000 0.000 0.000
Cr 0.500 0.500 0.000
Ni 0.000 0.000 0.500
Ni 0.000 0.500 0.000
Ni 0.000 0.500 0.500
Ni 0.251 0.251 0.251
Ni 0.500 0.500 0.500

Calculated values
spin magnetization	5.683	μB/f.u.
formation energy	0.07	kcal/mol of atoms



[2]
A plane-wave DFT calculation with PBE was carried out for a geometry-optimized SrVSe2 structure.

Cell lengths 3.8879, 3.8879, 26.0811 Å; angles 90.00, 90.00, 120.00 degrees
Space group R-3m (No. 166, hexagonal axes)
Unique sites:
Sr 0.0000 0.0000 0.0000
V 0.0000 0.0000 0.5000
Se 0.0000 0.0000 0.1151

Calculated values
spin magnetization	1.828	μB/f.u.
ΔE_f (raw)	-14.92	kcal/mol of atoms



[3]
A plane-wave DFT calculation with PBE was carried out for a geometry-optimized TcPW2 structure.

Cell lengths 2.941, 4.042, 5.039 Å; angles 90.00, 90.00, 90.00 degrees
Space group Pmm2 (No. 25)
Unique sites:
Tc 0.000 0.000 0.000
P 0.500 0.500 0.761
W 0.000 0.000 0.520
W 0.500 0.500 0.256

Calculated values
spin magnetization	0.000	μB/f.u.
formation energy	2.99	kcal/mol of atoms



[4]
A plane-wave DFT calculation with PBE was carried out for a geometry-optimized LiPr3Al3 structure.

Cell lengths 10.947, 4.851, 13.976 Å; angles 90.00, 103.38, 90.00 degrees
Space group C2/m (No. 12)
Unique sites:
Li 0.167 0.000 0.401
Pr 0.010 0.500 0.767
Pr 0.151 0.000 0.630
Pr 0.172 0.500 0.055
Al 0.022 0.000 0.911
Al 0.098 0.500 0.463
Al 0.197 0.000 0.213

Calculated values
spin magnetization	0.000	μB/f.u.
formation energy	-6.24	kcal/mol of atoms



[5]
A plane-wave DFT calculation with PBE was carried out for a geometry-optimized CaMoIr2 structure.

Cell lengths 6.212, 7.454, 2.893 Å; angles 90.00, 90.00, 90.00 degrees
Space group Cmmm (No. 65)
Unique sites:
Ca 0.000 0.000 0.000
Mo 0.000 0.500 0.000
Ir 0.250 0.250 0.500

Calculated values
spin magnetization	0.000	μB/f.u.
formation energy	0.85	kcal/mol of atoms



[6]
A plane-wave DFT calculation with PBE was carried out for a geometry-optimized TaPAuO2 structure.

Cell lengths 3.962, 3.962, 4.917 Å; angles 90.00, 90.00, 90.00 degrees
Space group P4/mmm (No. 123)
Unique sites:
Ta 0.000 0.000 0.000
P 0.500 0.500 0.000
Au 0.500 0.500 0.500
O 0.000 0.500 0.500

Calculated values
spin magnetization	0.081	μB/f.u.
ΔE_f (raw)	16.00	kcal/mol of atoms